<a>
Density functional theory data (PBE) for a geometry-optimized RbReHg2 structure.

Properties
Spin magnetization   3.23 Bohr magnetons per cell
Density   10.48 g/cm3

Geometry as extended XYZ:
```
4
Lattice="-1.798 -2.338 4.430 -3.854 2.310 2.851 -4.878 -2.126 0.095" Properties=species:S:1:pos:R:3 pbc="T T T"
Hg -2.633 -0.538 1.844
Hg -7.898 -1.615 5.532
Re -5.265 -1.077 3.688
Rb 0.000 0.000 0.000
```

<b>
Density functional theory data (PBE) for a geometry-optimized RbReHg2 structure.

Properties
Spin magnetization   4.18 Bohr magnetons per cell
Density   7.07 g/cm3

Geometry as extended XYZ:
```
8
Lattice="-2.662 -2.546 -4.691 5.059 0.467 -3.124 3.731 -9.042 -1.002" Properties=species:S:1:pos:R:3 pbc="T T T"
Hg 0.874 -8.972 -5.106
Hg 2.661 -7.657 -3.042
Hg -0.644 -4.315 -4.535
Hg 1.646 -4.311 -6.519
Rb 4.995 -4.807 -4.016
Rb 1.199 -1.039 -3.907
Re 1.134 -6.314 -4.800
Re 0.000 0.000 0.000
```

The least stable of them is <a>.

<a>
Density functional theory data (PBE) for a geometry-optimized RbRe3Hg structure.

Properties
Spin magnetization   2.63 Bohr magnetons per cell
Density   13.07 g/cm3

Geometry as extended XYZ:
```
5
Lattice="-2.488 1.187 3.871 2.009 -3.583 2.389 3.515 2.888 1.374" Properties=species:S:1:pos:R:3 pbc="T T T"
Re -1.244 0.593 1.935
Re 1.005 -1.791 1.195
Re 1.758 1.444 0.687
Rb 0.000 0.000 0.000
Hg 1.518 0.246 3.817
```

<b>
Density functional theory data (PBE) for a geometry-optimized RbRe3Hg structure.

Properties
Spin magnetization   10.28 Bohr magnetons per cell
Density   9.47 g/cm3

Geometry as extended XYZ:
```
5
Lattice="-0.880 -3.162 4.150 3.745 -3.313 -1.730 3.632 2.650 2.789" Properties=species:S:1:pos:R:3 pbc="T T T"
Re 1.873 -1.656 -0.865
Re 1.816 1.325 1.395
Re -0.440 -1.581 2.075
Hg 0.000 0.000 0.000
Rb 3.249 -1.912 2.605
```

The least stable of them is <a>.

<a>
Density functional theory data (PBE) for a geometry-optimized RbHg2Rh structure.

Properties
Spin magnetization   0.00 Bohr magnetons per cell
Density   6.41 g/cm3

Geometry as extended XYZ:
```
8
Lattice="-2.704 5.223 0.623 -3.125 -2.158 4.534 3.333 4.107 8.109" Properties=species:S:1:pos:R:3 pbc="T T T"
Hg -0.174 7.438 7.074
Hg -3.557 4.386 5.422
Hg 1.013 4.713 7.002
Hg -1.852 5.190 3.122
Rb -1.353 1.741 7.611
Rb -2.914 1.533 2.578
Rh -1.142 5.432 5.655
Rh 0.000 0.000 0.000
```

<b>
Density functional theory data (PBE) for a geometry-optimized RbHg2Rh structure.

Properties
Spin magnetization   0.00 Bohr magnetons per cell
Density   9.57 g/cm3

Geometry as extended XYZ:
```
4
Lattice="2.982 -4.044 -1.520 -2.205 -4.163 -2.317 0.805 -0.892 -5.110" Properties=species:S:1:pos:R:3 pbc="T T T"
Hg 1.186 -6.824 -6.710
Hg 0.395 -2.275 -2.237
Rb 0.000 0.000 0.000
Rh 0.791 -4.549 -4.474
```

The least stable of them is <b>.

<a>
Density functional theory data (PBE) for a geometry-optimized RbHg3Rh structure.

Properties
Spin magnetization   0.00 Bohr magnetons per cell
Density   4.97 g/cm3

Geometry as extended XYZ:
```
5
Lattice="6.416 0.000 0.000 0.000 6.416 0.000 0.000 0.000 6.416" Properties=species:S:1:pos:R:3 pbc="T T T"
Rb 0.000 0.000 0.000
Rh 3.208 3.208 3.208
Hg 3.208 0.000 0.000
Hg 0.000 0.000 3.208
Hg 0.000 3.208 0.000
```

<b>
Density functional theory data (PBE) for a geometry-optimized RbHg3Rh structure.

Properties
Spin magnetization   0.00 Bohr magnetons per cell
Density   8.54 g/cm3

Geometry as extended XYZ:
```
5
Lattice="5.356 0.000 0.000 0.000 5.356 0.000 0.000 0.000 5.356" Properties=species:S:1:pos:R:3 pbc="T T T"
Rb 2.678 2.678 2.678
Hg 2.678 0.000 0.000
Hg 0.000 2.678 0.000
Hg 0.000 0.000 2.678
Rh 0.000 0.000 0.000
```

The least stable of them is <a>.

<a>
Density functional theory data (PBE) for a geometry-optimized RbHg2Rh2 structure.

Properties
Spin magnetization   0.83 Bohr magnetons per cell
Density   9.67 g/cm3

Geometry as extended XYZ:
```
5
Lattice="-3.091 -2.788 0.232 2.747 -3.090 -0.535 0.698 -3.339 6.619" Properties=species:S:1:pos:R:3 pbc="T T T"
Hg 0.026 -3.030 1.392
Hg 0.328 -6.187 4.924
Rb 0.000 0.000 0.000
Rh 1.637 -4.684 2.966
Rh -1.283 -4.533 3.350
```

<b>
Density functional theory data (PBE) for a geometry-optimized RbHg2Rh2 structure.

Properties
Spin magnetization   1.05 Bohr magnetons per cell
Density   10.80 g/cm3

Geometry as extended XYZ:
```
10
Lattice="8.342 0.000 0.000 0.000 8.342 0.000 0.000 0.000 3.059" Properties=species:S:1:pos:R:3 pbc="T T T"
Hg 1.476 5.647 1.529
Hg 2.695 1.476 1.529
Hg 5.647 6.866 1.529
Hg 6.866 2.695 1.529
Rh 3.227 7.398 0.000
Rh 7.398 5.115 0.000
Rh 0.944 3.227 0.000
Rh 5.115 0.944 0.000
Rb 0.000 0.000 0.000
Rb 4.171 4.171 0.000
```

The least stable of them is <a>.

<a>
Density functional theory data (PBE) for a geometry-optimized RbHgRh3 structure.

Properties
Spin magnetization   1.00 Bohr magnetons per cell
Density   8.63 g/cm3

Geometry as extended XYZ:
```
5
Lattice="4.855 0.000 0.000 0.000 4.855 0.000 0.000 0.000 4.855" Properties=species:S:1:pos:R:3 pbc="T T T"
Hg 2.427 2.427 2.427
Rb 0.000 0.000 0.000
Rh 0.000 0.000 2.427
Rh 0.000 2.427 0.000
Rh 2.427 0.000 0.000
```

<b>
Density functional theory data (PBE) for a geometry-optimized RbHgRh3 structure.

Properties
Spin magnetization   2.45 Bohr magnetons per cell
Density   7.30 g/cm3

Geometry as extended XYZ:
```
5
Lattice="5.135 0.000 0.000 0.000 5.135 0.000 0.000 0.000 5.135" Properties=species:S:1:pos:R:3 pbc="T T T"
Hg 0.000 0.000 0.000
Rh 2.567 0.000 0.000
Rh 0.000 2.567 0.000
Rh 0.000 0.000 2.567
Rb 2.567 2.567 2.567
```

The least stable of them is <a>.

<a>
Density functional theory data (PBE) for a geometry-optimized RbHg2RhS structure.

Properties
Spin magnetization   0.49 Bohr magnetons per cell
Density   7.50 g/cm3

Geometry as extended XYZ:
```
5
Lattice="-1.425 -4.158 3.150 3.536 1.631 3.752 -3.339 2.654 1.993" Properties=species:S:1:pos:R:3 pbc="T T T"
Rh 0.000 0.000 0.000
S -1.669 1.327 0.997
Hg -0.712 -2.079 1.575
Hg 1.768 0.815 1.876
Rb -0.614 0.064 4.447
```

<b>
Density functional theory data (PBE) for a geometry-optimized RbHg2RhS structure.

Properties
Spin magnetization   0.00 Bohr magnetons per cell
Density   6.13 g/cm3

Geometry as extended XYZ:
```
5
Lattice="6.248 0.000 0.000 0.000 4.314 0.000 0.000 0.000 6.248" Properties=species:S:1:pos:R:3 pbc="T T T"
Hg 3.124 0.000 0.000
Hg 0.000 0.000 3.124
S 0.000 0.000 0.000
Rh 0.000 2.157 0.000
Rb 3.124 2.157 3.124
```

The least stable of them is <b>.

<a>
Density functional theory data (PBE) for a geometry-optimized RbTl2HgRh structure.

Properties
Spin magnetization   0.00 Bohr magnetons per cell
Density   7.38 g/cm3

Geometry as extended XYZ:
```
5
Lattice="-0.147 4.312 3.089 2.604 -2.633 3.800 5.555 1.949 -2.457" Properties=species:S:1:pos:R:3 pbc="T T T"
Tl 1.302 -1.317 1.900
Tl -0.073 2.156 1.544
Hg 4.006 1.814 2.216
Rb 2.778 0.975 -1.228
Rh 0.000 0.000 0.000
```

<b>
Density functional theory data (PBE) for a geometry-optimized RbTl2HgRh structure.

Properties
Spin magnetization   0.00 Bohr magnetons per cell
Density   8.55 g/cm3

Geometry as extended XYZ:
```
5
Lattice="5.314 0.000 0.000 0.000 5.314 0.000 0.000 0.000 5.489" Properties=species:S:1:pos:R:3 pbc="T T T"
Rb 2.657 2.657 2.745
Hg 0.000 0.000 2.745
Tl 0.000 2.657 0.000
Tl 2.657 0.000 0.000
Rh 0.000 0.000 0.000
```

The least stable of them is <a>.